AsCl2 | PBE | optimized geometry

Output
The value obtained for the total magnetic moment is 0.0 μB per cell. Its calculated volume is 87.8 Å³ per cell. The raw formation energy comes out at -0.4 eV/f.u. The energy above the lowest structure with this stoichiometry is 1.01 eV/f.u. As for the space group: P-3m1, No. 164.

Unit cell a=4.148 b=4.148 c=5.890 alpha=90.00 beta=90.00 gamma=120.00
Fractional positions:
As: 0.000 0.000 0.000
Cl: 0.333 0.667 0.797
Cl: 0.667 0.333 0.203